# La5GaPd

A relaxed La5GaPd crystal (PBE-GGA, the Alexandria database).

Output
As for the symmetry: C2/c, No. 15. The total magnetic moment comes out at 0.00 μB per cell. The calculation puts the energy of formation at -0.29 eV/atom.

POSCAR file:
```
La5GaPd
1.0
6.063 -0.518 -1.513
1.432 5.914 -1.513
0.855 0.616 11.467
La Ga Pd
10 2 2
direct
0.946 0.054 0.250 La
0.766 0.452 0.541 La
0.031 0.479 0.145 La
0.054 0.946 0.750 La
0.479 0.031 0.645 La
0.234 0.548 0.459 La
0.452 0.766 0.041 La
0.548 0.234 0.959 La
0.969 0.521 0.855 La
0.521 0.969 0.355 La
0.553 0.447 0.250 Ga
0.447 0.553 0.750 Ga
0.000 0.000 0.000 Pd
0.000 0.000 0.500 Pd
```

---

# FeReBr2

A relaxed FeReBr2 crystal (PBE-GGA, the Alexandria database).

Output
As for the symmetry: Fm-3m, No. 225. The energy above the lowest structure with this stoichiometry comes out at 110.0 kJ per mole of atoms. The formation energy (no corrections) is 1452 meV/atom. The total magnetic moment comes out at 0.00 μB per cell.

POSCAR file:
```
FeReBr2
1.0
3.803 -0.024 2.333
0.050 1.505 4.201
0.521 -2.857 3.387
Br Fe Re
2 1 1
direct
0.750 0.750 0.750 Br
0.250 0.250 0.250 Br
0.000 0.000 0.000 Fe
0.500 0.500 0.500 Re
```

---

# TbY7Tm12

A relaxed TbY7Tm12 crystal (PBE-GGA, the Alexandria database).

Output
As for the symmetry: R-3, No. 148. The energy above the lowest structure with this stoichiometry comes out at 0.0 kJ per mole of atoms. The total magnetic moment comes out at 0.00 μB per cell. The calculation puts the energy of formation at 0.23 eV/atom.

POSCAR file:
```
TbY7Tm12
1.0
8.365 1.214 1.822
-1.160 8.373 1.822
-1.160 -1.544 8.429
Tm Y Tb
12 7 1
direct
0.853 0.262 0.731 Tm
0.262 0.731 0.853 Tm
0.497 0.618 0.135 Tm
0.382 0.865 0.503 Tm
0.147 0.738 0.269 Tm
0.731 0.853 0.262 Tm
0.865 0.503 0.382 Tm
0.503 0.382 0.865 Tm
0.738 0.269 0.147 Tm
0.135 0.497 0.618 Tm
0.269 0.147 0.738 Tm
0.618 0.135 0.497 Tm
0.500 0.500 0.500 Y
0.931 0.846 0.604 Y
0.604 0.931 0.846 Y
0.396 0.069 0.154 Y
0.154 0.396 0.069 Y
0.846 0.604 0.931 Y
0.069 0.154 0.396 Y
0.000 0.000 0.000 Tb
```

---

# CdSe2BrN

A relaxed CdSe2BrN crystal (PBE-GGA, the Alexandria database).

Output
As for the symmetry: P4/mmm, No. 123. The energy above the lowest structure with this stoichiometry comes out at 0.0 kJ per mole of atoms. The formation energy (no corrections) is 795 meV/atom. The total magnetic moment comes out at 0.00 μB per cell.

POSCAR file:
```
CdSe2BrN
1.0
-2.387 3.653 -1.456
-3.701 -2.662 -0.612
-1.321 0.849 4.293
N Br Se Cd
1 1 2 1
direct
0.000 0.000 0.000 N
0.000 0.000 0.500 Br
0.500 0.000 0.000 Se
0.000 0.500 0.000 Se
0.500 0.500 0.500 Cd
```

---

# LaBeCo2

A relaxed LaBeCo2 crystal (PBE-GGA, the Alexandria database).

Output
As for the symmetry: C2/m, No. 12. The total magnetic moment comes out at 0.97 μB per cell. The calculation puts the energy of formation at 0.45 eV/atom.

POSCAR file:
```
LaBeCo2
1.0
4.959 -0.002 -0.003
-1.681 4.666 -0.003
0.834 1.187 2.567
La Be Co
1 1 2
direct
0.500 0.000 0.500 La
0.000 0.500 0.500 Be
0.500 0.500 0.000 Co
0.000 0.000 0.000 Co
```

---

# RbTl2GeI5

A relaxed RbTl2GeI5 crystal (PBE-GGA, the Alexandria database).

Output
As for the symmetry: Cmc2_1, No. 36. The formation energy (no corrections) is -688 meV/atom. The total magnetic moment comes out at 0.00 μB per cell.

POSCAR file:
```
RbTl2GeI5
1.0
-1.429 4.121 1.497
-4.306 -0.671 -9.365
-14.955 -7.889 7.441
I Ge Tl Rb
10 2 4 2
direct
0.594 0.188 0.520 I
0.891 0.783 0.571 I
0.251 0.503 0.433 I
0.470 0.940 0.769 I
0.406 0.812 0.020 I
0.228 0.456 0.658 I
0.772 0.544 0.158 I
0.109 0.217 0.071 I
0.530 0.060 0.269 I
0.749 0.497 0.933 I
0.261 0.523 0.042 Ge
0.739 0.477 0.542 Ge
0.155 0.310 0.251 Tl
0.049 0.098 0.649 Tl
0.845 0.690 0.751 Tl
0.951 0.902 0.149 Tl
0.433 0.866 0.431 Rb
0.567 0.134 0.931 Rb
```

---

# KNiTe2

A relaxed KNiTe2 crystal (PBE-GGA, the Alexandria database).

Output
As for the symmetry: P4/mmm, No. 123. The formation energy (no corrections) is -38 meV/atom. The total magnetic moment comes out at 0.01 μB per cell.

POSCAR file:
```
KNiTe2
1.0
3.441 0.000 0.000
0.000 3.441 0.000
0.000 0.000 8.659
Ni K Te
1 1 2
direct
0.500 0.500 0.750 Ni
0.500 0.500 0.250 K
0.000 0.000 0.938 Te
0.000 0.000 0.562 Te
```

---

# Sm2Zn4CdPt3

A relaxed Sm2Zn4CdPt3 crystal (PBE-GGA, the Alexandria database).

Output
As for the symmetry: P-4m2, No. 115. The total magnetic moment comes out at 0.00 μB per cell. The calculation puts the energy of formation at -0.66 eV/atom.

POSCAR file:
```
Sm2Zn4CdPt3
1.0
-2.322 2.541 2.137
-2.254 0.708 -3.291
-7.162 -9.036 2.961
Zn Cd Pt Sm
4 1 3 2
direct
0.500 0.000 0.645 Zn
0.000 0.000 0.000 Zn
0.000 0.500 0.355 Zn
0.500 0.500 0.000 Zn
0.500 0.500 0.500 Cd
0.500 0.000 0.858 Pt
0.000 0.500 0.142 Pt
0.000 0.000 0.500 Pt
0.500 0.000 0.233 Sm
0.000 0.500 0.767 Sm
```

---

# BaSc2P

A relaxed BaSc2P crystal (PBE-GGA, the Alexandria database).

Output
As for the symmetry: R-3m, No. 166. The total magnetic moment comes out at 0.00 μB per cell. The calculation puts the energy of formation at -0.56 eV/atom.

POSCAR file:
```
BaSc2P
1.0
-6.493 2.255 -6.668
-6.677 -1.545 -6.690
-8.641 0.440 -4.106
Sc Ba P
2 1 1
direct
0.284 0.284 0.284 Sc
0.716 0.716 0.716 Sc
0.500 0.500 0.500 Ba
0.000 0.000 0.000 P
```

---

# SmEr2Ir

A relaxed SmEr2Ir crystal (PBE-GGA, the Alexandria database).

Output
As for the symmetry: Pnma, No. 62. The energy above the lowest structure with this stoichiometry comes out at 0.0 kJ per mole of atoms. The total magnetic moment comes out at 0.00 μB per cell. The calculation puts the energy of formation at -0.57 eV/atom.

POSCAR file:
```
SmEr2Ir
1.0
-3.036 -3.925 -4.060
6.323 -3.123 -1.710
-1.185 -6.134 6.817
Er Ir Sm
8 4 4
direct
0.830 0.325 0.564 Er
0.330 0.175 0.436 Er
0.330 0.175 0.064 Er
0.830 0.325 0.936 Er
0.170 0.675 0.064 Er
0.670 0.825 0.564 Er
0.170 0.675 0.436 Er
0.670 0.825 0.936 Er
0.941 0.618 0.750 Ir
0.559 0.118 0.750 Ir
0.059 0.382 0.250 Ir
0.441 0.882 0.250 Ir
0.368 0.467 0.750 Sm
0.632 0.533 0.250 Sm
0.132 0.967 0.750 Sm
0.868 0.033 0.250 Sm
```

---

# Pm2B10Pd

A relaxed Pm2B10Pd crystal (PBE-GGA, the Alexandria database).

Output
As for the symmetry: Pbam, No. 55. The total magnetic moment comes out at 0.00 μB per cell. The calculation puts the energy of formation at -0.49 eV/atom.

POSCAR file:
```
Pm2B10Pd
1.0
-1.208 -4.007 0.384
5.438 -1.709 -0.732
1.701 0.569 11.304
B Pm Pd
20 4 2
direct
0.000 0.138 0.698 B
0.000 0.944 0.806 B
0.698 0.280 0.620 B
0.698 0.720 0.380 B
0.000 0.362 0.198 B
0.000 0.116 0.544 B
0.302 0.280 0.620 B
0.000 0.638 0.802 B
0.302 0.720 0.380 B
0.698 0.780 0.880 B
0.698 0.220 0.120 B
0.000 0.884 0.456 B
0.302 0.220 0.120 B
0.000 0.056 0.194 B
0.000 0.384 0.044 B
0.000 0.862 0.302 B
0.000 0.556 0.306 B
0.000 0.444 0.694 B
0.302 0.780 0.880 B
0.000 0.616 0.956 B
0.500 0.692 0.139 Pm
0.500 0.308 0.861 Pm
0.500 0.192 0.361 Pm
0.500 0.808 0.639 Pm
0.000 0.500 0.500 Pd
0.000 0.000 0.000 Pd
```

---

# Fe3Pt2Rh2

A relaxed Fe3Pt2Rh2 crystal (PBE-GGA, the Alexandria database).

Output
As for the symmetry: C2/m, No. 12. The total magnetic moment comes out at 12.39 μB per cell. The calculation puts the energy of formation at 0.05 eV/atom.

POSCAR file:
```
Fe3Pt2Rh2
1.0
4.010 0.000 -1.119
-2.159 3.674 0.004
-0.151 -0.028 7.194
Fe Pt Rh
3 2 2
direct
0.000 0.000 0.000 Fe
0.511 0.767 0.256 Fe
0.489 0.233 0.744 Fe
0.766 0.392 0.140 Pt
0.234 0.608 0.860 Pt
0.261 0.140 0.381 Rh
0.739 0.860 0.619 Rh
```

---

# Tl3SiPb

A relaxed Tl3SiPb crystal (PBE-GGA, the Alexandria database).

Output
As for the symmetry: Pm-3m, No. 221. The energy above the lowest structure with this stoichiometry comes out at 47.7 kJ per mole of atoms. The formation energy (no corrections) is 914 meV/atom. The total magnetic moment comes out at 1.66 μB per cell.

POSCAR file:
```
Tl3SiPb
1.0
-5.728 1.345 1.005
-1.521 -5.670 -1.082
0.711 -1.294 5.784
Si Pb Tl
1 1 3
direct
0.500 0.500 0.500 Si
0.000 0.000 0.000 Pb
0.000 0.500 0.000 Tl
0.000 0.000 0.500 Tl
0.500 0.000 0.000 Tl
```

---

# LiZn2Rh

A relaxed LiZn2Rh crystal (PBE-GGA, the Alexandria database).

Output
As for the symmetry: Pmm2, No. 25. The energy above the lowest structure with this stoichiometry comes out at 15.7 kJ per mole of atoms. The total magnetic moment comes out at 0.00 μB per cell. The calculation puts the energy of formation at -0.25 eV/atom.

POSCAR file:
```
LiZn2Rh
1.0
2.860 0.000 0.000
0.000 3.763 0.000
0.000 0.000 5.244
Zn Li Rh
2 1 1
direct
0.500 0.500 0.262 Zn
0.000 0.000 0.974 Zn
0.000 0.000 0.506 Li
0.500 0.500 0.758 Rh
```

---

# LaPm7Er3

A relaxed LaPm7Er3 crystal (PBE-GGA, the Alexandria database).

Output
As for the symmetry: C2/m, No. 12. The energy above the lowest structure with this stoichiometry comes out at 2.3 kJ per mole of atoms. The total magnetic moment comes out at 0.00 μB per cell. The calculation puts the energy of formation at 0.22 eV/atom.

POSCAR file:
```
LaPm7Er3
1.0
-1.226 2.442 5.845
7.312 -0.786 2.525
2.605 7.111 -1.761
Er La Pm
3 1 7
direct
0.500 0.000 0.000 Er
0.000 0.169 0.831 Er
0.000 0.831 0.169 Er
0.500 0.500 0.500 La
0.259 0.072 0.423 Pm
0.211 0.766 0.766 Pm
0.259 0.423 0.072 Pm
0.789 0.234 0.234 Pm
0.000 0.500 0.500 Pm
0.741 0.577 0.928 Pm
0.741 0.928 0.577 Pm
```

---

# La3Pm3Dy

A relaxed La3Pm3Dy crystal (PBE-GGA, the Alexandria database).

Output
As for the symmetry: P6_3/m, No. 176. The energy above the lowest structure with this stoichiometry comes out at 0.0 kJ per mole of atoms. The total magnetic moment comes out at 0.00 μB per cell. The calculation puts the energy of formation at 0.03 eV/atom.

POSCAR file:
```
La3Pm3Dy
1.0
5.919 0.000 0.000
0.000 9.853 0.000
0.000 -4.926 8.533
La Dy Pm
6 2 6
direct
0.750 0.757 0.805 La
0.250 0.243 0.195 La
0.750 0.047 0.243 La
0.750 0.195 0.953 La
0.250 0.805 0.047 La
0.250 0.953 0.757 La
0.250 0.667 0.333 Dy
0.750 0.333 0.667 Dy
0.750 0.615 0.095 Pm
0.250 0.519 0.615 Pm
0.750 0.481 0.385 Pm
0.750 0.905 0.519 Pm
0.250 0.095 0.481 Pm
0.250 0.385 0.905 Pm
```

---

# SrSeO3F

A relaxed SrSeO3F crystal (PBE-GGA, the Alexandria database).

Output
As for the symmetry: C2/c, No. 15. The formation energy (no corrections) is -1563 meV/atom. The total magnetic moment comes out at 1.89 μB per cell.

POSCAR file:
```
SrSeO3F
1.0
-4.720 -0.105 -0.909
-2.762 -7.099 -2.260
-2.455 -4.958 4.608
O Sr F Se
6 2 2 2
direct
0.250 0.789 0.421 O
0.539 0.897 0.892 O
0.961 0.211 0.892 O
0.461 0.103 0.108 O
0.039 0.789 0.108 O
0.750 0.211 0.579 O
0.750 0.624 0.751 Sr
0.250 0.376 0.249 Sr
0.750 0.428 0.144 F
0.250 0.572 0.856 F
0.750 0.069 0.862 Se
0.250 0.931 0.138 Se
```

---

# La3Hg2H

A relaxed La3Hg2H crystal (PBE-GGA, the Alexandria database).

Output
As for the symmetry: C2/c, No. 15. Its energy is -42.562 eV per cell. The total magnetic moment comes out at 0.00 μB per cell.

POSCAR file:
```
La3Hg2H
1.0
-7.167 1.432 2.593
1.173 -5.197 6.114
5.206 4.190 0.481
Hg La H
4 6 2
direct
0.529 0.355 0.658 Hg
0.871 0.145 0.342 Hg
0.471 0.645 0.342 Hg
0.129 0.855 0.658 Hg
0.069 0.469 0.282 La
0.931 0.531 0.718 La
0.607 0.750 0.000 La
0.213 0.969 0.282 La
0.393 0.250 0.000 La
0.787 0.031 0.718 La
0.090 0.250 0.000 H
0.910 0.750 0.000 H
```

---

# KLaIrO6

A relaxed KLaIrO6 crystal (PBE-GGA, the Alexandria database).

Output
As for the symmetry: P312, No. 149. The formation energy (no corrections) is -1465 meV/atom. The total magnetic moment comes out at 0.80 μB per cell.

POSCAR file:
```
KLaIrO6
1.0
-3.543 -0.497 -4.597
1.365 -3.624 -4.351
-2.791 -4.174 2.602
Ir O K La
1 6 1 1
direct
0.333 0.333 0.500 Ir
0.595 0.346 0.691 O
0.346 0.059 0.691 O
0.059 0.595 0.691 O
0.059 0.346 0.309 O
0.595 0.059 0.309 O
0.346 0.595 0.309 O
0.000 0.000 0.000 K
0.667 0.667 0.500 La
```

---

# Ta2TcTePt

A relaxed Ta2TcTePt crystal (PBE-GGA, the Alexandria database).

Output
As for the symmetry: P4/mmm, No. 123. The formation energy (no corrections) is 1842 meV/atom. The total magnetic moment comes out at 0.00 μB per cell.

POSCAR file:
```
Ta2TcTePt
1.0
4.957 0.000 0.000
0.000 4.693 0.000
0.000 0.000 4.957
Tc Ta Pt Te
1 2 1 1
direct
0.000 0.500 0.000 Tc
0.500 0.000 0.000 Ta
0.000 0.000 0.500 Ta
0.500 0.500 0.500 Pt
0.000 0.000 0.000 Te
```

---

# Ga2Cu8Au

A relaxed Ga2Cu8Au crystal (PBE-GGA, the Alexandria database).

Output
As for the symmetry: C2/m, No. 12. The energy above the lowest structure with this stoichiometry comes out at 5.7 kJ per mole of atoms. The total magnetic moment comes out at 0.00 μB per cell. The calculation puts the energy of formation at 0.04 eV/atom.

POSCAR file:
```
Ga2Cu8Au
1.0
-2.287 -3.799 0.005
1.882 -6.182 2.147
-1.287 -1.741 6.912
Au Cu Ga
1 8 2
direct
0.500 0.000 0.000 Au
0.500 0.798 0.405 Cu
0.500 0.202 0.595 Cu
0.207 0.635 0.266 Cu
0.715 0.539 0.000 Cu
0.285 0.461 0.000 Cu
0.207 0.901 0.734 Cu
0.793 0.365 0.734 Cu
0.793 0.099 0.266 Cu
0.000 0.315 0.369 Ga
0.000 0.685 0.631 Ga
```

---

# LiAcGe2S6

A relaxed LiAcGe2S6 crystal (PBE-GGA, the Alexandria database).

Output
As for the symmetry: C2/c, No. 15. The formation energy (no corrections) is -889 meV/atom. The total magnetic moment comes out at 0.00 μB per cell.

POSCAR file:
```
LiAcGe2S6
1.0
7.223 0.136 0.141
2.483 8.427 0.551
2.483 0.239 8.442
Ac S Ge Li
2 12 4 2
direct
0.250 0.843 0.157 Ac
0.750 0.157 0.843 Ac
0.425 0.886 0.400 S
0.168 0.954 0.823 S
0.955 0.289 0.428 S
0.545 0.572 0.711 S
0.832 0.046 0.177 S
0.075 0.600 0.114 S
0.575 0.114 0.600 S
0.455 0.428 0.289 S
0.045 0.711 0.572 S
0.925 0.400 0.886 S
0.332 0.177 0.046 S
0.668 0.823 0.954 S
0.703 0.221 0.364 Ge
0.297 0.779 0.636 Ge
0.203 0.364 0.221 Ge
0.797 0.636 0.779 Ge
0.250 0.228 0.772 Li
0.750 0.772 0.228 Li
```